Record 1
The following is a DFT calculation (PBE) of an optimized crystal structure of CePu3Al8. Values from VASP.

Structure (Quantum ESPRESSO input):
```
&SYSTEM
  ibrav = 0, nat = 12, ntyp = 3
/
ATOMIC_SPECIES
Al 26.98 Al.upf
Pu 244.00 Pu.upf
Ce 140.12 Ce.upf
ATOMIC_POSITIONS angstrom
Al 5.5296 4.7883 1.6685
Al 8.2945 4.7888 8.4374
Al 4.1477 2.3947 1.6685
Al 9.6805 5.5890 6.2078
Al 6.9084 5.5890 6.2078
Al 6.9116 2.3947 1.6685
Al 2.7648 1.5963 3.9476
Al 8.2945 3.1884 6.2078
Pu 5.5296 3.1925 4.5289
Pu 8.2945 4.7888 0.0014
Pu 5.5296 3.1925 7.8624
Ce 8.2945 4.7888 3.3730
CELL_PARAMETERS angstrom
5.5296 0.0000 0.0000
2.7648 4.7888 0.0000
2.7648 1.5963 9.0052
```

total energy	-6.961	eV per atom
distance to the lowest polymorph of the same formula	0.000	eV/atom
ΔE_f	-450	kJ/mol of formula units

Record 2
The following is a DFT calculation (PBE) of an optimized crystal structure of In5Hg6Bi. Values from VASP.

Structure (Quantum ESPRESSO input):
```
&SYSTEM
  ibrav = 0, nat = 12, ntyp = 3
/
ATOMIC_SPECIES
In 114.82 In.upf
Hg 200.59 Hg.upf
Bi 208.98 Bi.upf
ATOMIC_POSITIONS angstrom
In 0.9188 -2.0163 6.0173
In -1.2171 4.5204 2.5542
In -2.5026 -2.3471 4.8940
In -4.6384 4.1896 1.4309
In -1.8598 1.0866 3.7241
Hg 0.3987 -0.9694 3.0597
Hg -2.3375 2.0864 0.8013
Hg -4.1184 3.1426 4.3885
Hg -3.0482 -1.2600 1.9876
Hg -1.3822 0.0869 6.6469
Hg -0.6714 3.4333 5.4606
Bi 0.0000 0.0000 0.0000
CELL_PARAMETERS angstrom
-4.1257 -3.6958 -0.0041
4.2401 -1.5740 7.0582
-3.8341 7.4430 0.3942
```

total energy	-1.590	eV per atom
ΔE_f	29	kJ/mol of formula units

Record 3
The following is a DFT calculation (PBE) of an optimized crystal structure of BaTc2Pt. Values from VASP.

Structure (Quantum ESPRESSO input):
```
&SYSTEM
  ibrav = 0, nat = 4, ntyp = 3
/
ATOMIC_SPECIES
Tc 98.00 Tc.upf
Pt 195.08 Pt.upf
Ba 137.33 Ba.upf
ATOMIC_POSITIONS angstrom
Tc -0.2851 -3.2702 2.9847
Tc -0.0146 -5.4905 3.9707
Pt -2.2066 -5.0383 2.5603
Ba -2.1067 -2.1181 0.2418
CELL_PARAMETERS angstrom
-4.1136 -1.3160 -1.8347
1.3311 -3.7179 -0.3177
-1.5309 -2.1225 4.9546
```

total energy	-6.724	eV per atom
distance to the lowest polymorph of the same formula	0.255	eV/atom
ΔE_f	173	kJ/mol of formula units

| no. | magnetization (μB/cell) |
| --- | --- |
| 1 | 6.47 |
| 2 | 0.00 |
| 3 | 0.00 |